[1]
Crystalline TbHo3Er3Se8 at its relaxed geometry, computed with PBE.

```
TbHo3Er3Se8
1.0
4.0343 2.3292 6.5896
-4.0343 2.3292 6.5896
0.0000 -4.6584 6.5896
Tb Ho Er Se
1 3 3 8
Direct
0.0000 0.0000 0.0000
0.0000 0.0000 0.5000
0.0000 0.5000 0.0000
0.5000 0.0000 0.0000
0.0000 0.5000 0.5000
0.5000 0.0000 0.5000
0.5000 0.5000 0.0000
0.2506 0.2506 0.2506
0.2557 0.2557 0.7431
0.2557 0.7431 0.2557
0.2569 0.7443 0.7443
0.7431 0.2557 0.2557
0.7443 0.2569 0.7443
0.7443 0.7443 0.2569
0.7494 0.7494 0.7494
```

Calculated values
* space group: R-3m
* electronic total energy: -5.80 eV per atom
* uncorrected formation energy: -2615 kJ/mol of formula units
* total magnetization: 0.0 μB/cell

[2]
Crystalline TbHo2Er3Se6 at its relaxed geometry, computed with PBE.

```
TbHo2Er3Se6
1.0
3.4887 -6.0883 0.0000
3.4887 6.0883 0.0000
-2.3423 0.0000 6.6411
Tb Ho Er Se
1 2 3 6
Direct
0.0000 0.0000 0.0000
0.3338 0.6662 0.0000
0.6662 0.3338 0.0000
0.1646 0.8354 0.5000
0.5000 0.5000 0.5000
0.8354 0.1646 0.5000
0.0844 0.4206 0.2535
0.2518 0.2518 0.7478
0.4206 0.0844 0.2535
0.5794 0.9156 0.7465
0.7482 0.7482 0.2522
0.9156 0.5794 0.7465
```

Calculated values
* space group: C2/m
* electronic total energy: -5.75 eV per atom
* uncorrected formation energy: -1989 kJ/mol of formula units
* total magnetization: 0.0 μB/cell

[3]
Crystalline TbHo2ErSe5 at its relaxed geometry, computed with PBE.

```
TbHo2ErSe5
1.0
5.1097 0.0000 0.0000
0.0000 5.1097 0.0000
0.0000 0.0000 10.7290
Tb Ho Er Se
1 2 1 5
Direct
0.0000 0.0000 0.0000
0.5000 0.5000 0.3417
0.5000 0.5000 0.6583
0.0000 0.0000 0.5000
0.0000 0.0000 0.2479
0.0000 0.0000 0.7521
0.0000 0.5000 0.5000
0.5000 0.0000 0.5000
0.5000 0.5000 0.0000
```

Calculated values
* space group: P4/mmm
* electronic total energy: -5.08 eV per atom
* uncorrected formation energy: -957 kJ/mol of formula units
* total magnetization: 0.2 μB/cell

[4]
Crystalline TbHoEr2Se6 at its relaxed geometry, computed with PBE.

```
TbHoEr2Se6
1.0
3.5854 2.0700 6.4608
-3.5854 2.0700 6.4608
0.0000 -4.1401 6.4608
Tb Ho Er Se
1 1 2 6
Direct
0.0000 0.0000 0.0000
0.4991 0.4991 0.4991
0.3038 0.3038 0.3038
0.8044 0.8044 0.8044
0.0936 0.4071 0.7022
0.2056 0.9037 0.5925
0.4071 0.7022 0.0936
0.5925 0.2056 0.9037
0.7022 0.0936 0.4071
0.9037 0.5925 0.2056
```

Calculated values
* space group: R3
* electronic total energy: -5.77 eV per atom
* uncorrected formation energy: -1784 kJ/mol of formula units
* total magnetization: 0.0 μB/cell

[5]
Crystalline TbHo4ErSe8 at its relaxed geometry, computed with PBE.

```
TbHo4ErSe8
1.0
4.1928 2.4207 6.8432
-4.1928 2.4207 6.8432
0.0000 -4.8414 6.8432
Tb Ho Er Se
1 4 1 8
Direct
0.0000 0.0000 0.0000
0.1257 0.6247 0.6247
0.2497 0.2497 0.2497
0.6247 0.1257 0.6247
0.6247 0.6247 0.1257
0.6248 0.6248 0.6248
0.3821 0.3821 0.3821
0.3832 0.3832 0.8524
0.3832 0.8524 0.3832
0.4003 0.8659 0.8659
0.8524 0.3832 0.3832
0.8659 0.4003 0.8659
0.8659 0.8659 0.4003
0.8667 0.8667 0.8667
```

Calculated values
* space group: R3m
* electronic total energy: -5.66 eV per atom
* uncorrected formation energy: -2304 kJ/mol of formula units
* total magnetization: 0.0 μB/cell

[6]
Crystalline TbHo2ErSe4 at its relaxed geometry, computed with PBE.

```
TbHo2ErSe4
1.0
7.0372 0.0000 0.0000
0.0000 4.0115 0.0000
-2.2912 0.0000 6.7060
Tb Ho Er Se
1 2 1 4
Direct
0.0000 0.0000 0.0000
0.5000 0.0000 0.5000
0.5000 0.5000 0.0000
0.0000 0.5000 0.5000
0.2500 0.0000 0.7474
0.2520 0.5000 0.2533
0.7480 0.5000 0.7467
0.7500 0.0000 0.2526
```

Calculated values
* space group: P2/m
* electronic total energy: -5.76 eV per atom
* uncorrected formation energy: -1331 kJ/mol of formula units
* total magnetization: 0.0 μB/cell